Below is an optimized crystal structure of CoAgSbTe2, with properties calculated at the PBE-GGA level.

```
5
Lattice="-1.889 4.784 0.952 -1.780 0.274 -4.911 -4.081 -1.884 1.374" Properties=species:S:1:pos:R:3 pbc="T T T"
Sb -2.040 -0.942 0.687
Te -0.890 0.137 -2.456
Te -0.944 2.392 0.476
Co 0.000 0.000 0.000
Ag -3.875 1.587 -1.293
```

## Properties
final energy = -18.3 eV/cell
formation energy from raw total energies = 40.7 kJ per mole of atoms
distance to the lowest polymorph of the same formula = 0 meV/atom